CrCd2Br | the Alexandria database | PBE | optimized geometry; ΔE_f (raw) = 310.2 meV/atom; symmetry = P4/mmm (123); V = 23.56 A^3/atom
1.0
5.272 0.000 0.000
0.000 5.272 0.000
0.000 0.000 3.391
Cr Cd Br
1 2 1
Direct
0.000 0.000 0.000
0.000 0.500 0.500
0.500 0.000 0.500
0.500 0.500 0.000

CrCd2Br | the Alexandria database | PBE | optimized geometry; ΔE_f (raw) = 504.3 meV/atom; symmetry = Fm-3m (225); V = 25.38 A^3/atom
1.0
0.000 3.703 3.703
3.703 0.000 3.703
3.703 3.703 0.000
Cr Cd Br
1 2 1
Direct
0.000 0.000 0.000
0.250 0.250 0.250
0.750 0.750 0.750
0.500 0.500 0.500

CrCd2Br | the Alexandria database | PBE | optimized geometry; ΔE_f (raw) = 174.4 meV/atom; symmetry = C2/m (12); V = 23.93 A^3/atom
1.0
6.764 -1.662 0.000
6.764 1.662 0.000
-1.500 0.000 4.257
Cr Cd Br
1 2 1
Direct
0.000 0.000 0.000
0.292 0.292 0.791
0.708 0.708 0.209
0.500 0.500 0.500

CrCd2Br | the Alexandria database | PBE | optimized geometry; ΔE_f (raw) = 238.3 meV/atom; symmetry = Pmmm (47); V = 24.46 A^3/atom
1.0
3.451 0.000 0.000
0.000 4.587 0.000
0.000 0.000 6.180
Cr Cd Br
1 2 1
Direct
0.000 0.000 0.000
0.000 0.500 0.500
0.500 0.000 0.500
0.500 0.500 0.000

CrCd2Br | the Alexandria database | PBE | optimized geometry; ΔE_f (raw) = 234.3 meV/atom; symmetry = I4/mmm (139); V = 24.55 A^3/atom
1.0
-2.027 2.027 5.976
2.027 -2.027 5.976
2.027 2.027 -5.976
Cr Cd Br
1 2 1
Direct
0.000 0.000 0.000
0.250 0.750 0.500
0.750 0.250 0.500
0.500 0.500 0.000

CrCd2Br | the Alexandria database | PBE | optimized geometry; ΔE_f (raw) = 137.7 meV/atom; symmetry = P4mm (99); V = 23.59 A^3/atom
1.0
3.335 0.000 0.000
0.000 3.335 0.000
0.000 0.000 8.487
Cr Cd Br
1 2 1
Direct
0.000 0.000 0.000
0.000 0.000 0.539
0.500 0.500 0.779
0.500 0.500 0.185

V of number 3 (CrCd2Br)? 23.93 A^3/atom

Look up the V of the second one. 25.38 A^3/atom

What is the V in the first record? 23.56 A^3/atom